1.
## VNiTe2 (PBE-GGA)

Data for a geometry-optimized VNiTe2 structure.

Cell lengths 8.4276, 6.1842, 7.8020 Å; angles 90.00, 115.87, 90.00 degrees
Closest atoms and distances in Å follow each position.
Sites, in units of the cell vectors:
V: 0.0178 0.0213 0.3051  4 Ni 2.61-2.91, 5 Te 2.70-2.91
V: 0.0178 0.4787 0.8051  4 Ni 2.61-2.91, 5 Te 2.70-2.91
V: 0.9822 0.5213 0.1949  4 Ni 2.61-2.91, 5 Te 2.70-2.91
V: 0.9822 0.9787 0.6949  4 Ni 2.61-2.91, 5 Te 2.70-2.91
Ni: 0.1085 0.6449 0.5535  1 Ni 2.43, 4 Te 2.50-2.63, 2 V 2.61-2.64
Ni: 0.1085 0.8551 0.0535  1 Ni 2.43, 4 Te 2.50-2.63, 2 V 2.61-2.64
Ni: 0.8915 0.1449 0.9465  1 Ni 2.43, 4 Te 2.50-2.63, 2 V 2.61-2.64
Ni: 0.8915 0.3551 0.4465  1 Ni 2.43, 4 Te 2.50-2.63, 2 V 2.61-2.64
Te: 0.2098 0.2399 0.6339  2 Ni 2.53-2.63, 2 V 2.70-2.72
Te: 0.2098 0.2601 0.1339  2 Ni 2.53-2.63, 2 V 2.70-2.72
Te: 0.2980 0.7485 0.8949  2 Ni 2.50-2.52, 1 V 2.72
Te: 0.2980 0.7515 0.3949  2 Ni 2.50-2.52, 1 V 2.72
Te: 0.7020 0.2485 0.6051  2 Ni 2.50-2.52, 1 V 2.72
Te: 0.7020 0.2515 0.1051  2 Ni 2.50-2.52, 1 V 2.72
Te: 0.7902 0.7399 0.8661  2 Ni 2.53-2.63, 2 V 2.70-2.72
Te: 0.7902 0.7601 0.3661  2 Ni 2.53-2.63, 2 V 2.70-2.72

Computed properties:
* space group: P2_1/c
* crystal system: monoclinic



2.
## RbPd2Se2 (PBE-GGA)

Data for a geometry-optimized RbPd2Se2 structure.

Cell lengths 7.0549, 7.0549, 7.0549 Å; angles 143.67, 143.67, 52.32 degrees
Closest atoms and distances in Å follow each position.
Sites, in units of the cell vectors:
Rb: 0.0000 0.0000 0.0000  8 Se 3.62, 8 Pd 3.86
Pd: 0.2500 0.7500 0.5000  4 Se 2.57
Pd: 0.7500 0.2500 0.5000  4 Se 2.57
Se: 0.3542 0.3542 0.0000  4 Pd 2.57
Se: 0.6458 0.6458 0.0000  4 Pd 2.57

Computed properties:
* energy above the most stable polymorph in this dataset: 6 kJ/mol of formula units
* space group: I4/mmm
* crystal system: tetragonal



3.
## CuNi2RhN (PBE-GGA)

Data for a geometry-optimized CuNi2RhN structure.

Cell lengths 3.7545, 3.7545, 4.0076 Å; angles 90.00, 90.00, 90.00 degrees
Closest atoms and distances in Å follow each position.
Sites, in units of the cell vectors:
Cu: 0.0000 0.0000 0.0000  4 Rh 2.65, 8 Ni 2.75
Ni: 0.0000 0.5000 0.5000  2 N 1.88
Ni: 0.5000 0.0000 0.5000  2 N 1.88
Rh: 0.5000 0.5000 0.0000  2 N 2.00
N: 0.5000 0.5000 0.5000  4 Ni 1.88, 2 Rh 2.00

Computed properties:
* energy above the most stable polymorph in this dataset: 0 kJ/mol of formula units
* space group: P4/mmm
* crystal system: tetragonal



4.
## Ge3PbI (PBE-GGA)

Data for a geometry-optimized Ge3PbI structure.

Cell lengths 5.6017, 5.6017, 5.6017 Å; angles 90.00, 90.00, 90.00 degrees
Closest atoms and distances in Å follow each position.
Sites, in units of the cell vectors:
Ge: 0.0000 0.0000 0.5000  2 Pb 2.80
Ge: 0.0000 0.5000 0.0000  2 Pb 2.80
Ge: 0.5000 0.0000 0.0000  2 Pb 2.80
Pb: 0.0000 0.0000 0.0000  6 Ge 2.80
I: 0.5000 0.5000 0.5000  12 Ge 3.96

Computed properties:
* energy above the most stable polymorph in this dataset: 0 kJ/mol of formula units
* space group: Pm-3m
* crystal system: cubic



5.
## CaFeAs2Se (PBE-GGA)

Data for a geometry-optimized CaFeAs2Se structure.

Cell lengths 4.4345, 4.4345, 5.5868 Å; angles 90.00, 90.00, 90.00 degrees
Closest atoms and distances in Å follow each position.
Sites, in units of the cell vectors:
Ca: 0.0000 0.0000 0.0000  4 Se 3.14
Fe: 0.5000 0.5000 0.5000  4 As 2.22
As: 0.0000 0.5000 0.5000  2 Fe 2.22
As: 0.5000 0.0000 0.5000  2 Fe 2.22
Se: 0.5000 0.5000 0.0000  2 Fe 2.79

Computed properties:
* energy above the most stable polymorph in this dataset: 0 kJ/mol of formula units
* space group: P4/mmm
* crystal system: tetragonal



6.
## CsKBSe2 (PBE-GGA)

Data for a geometry-optimized CsKBSe2 structure.

Cell lengths 7.9117, 5.1457, 9.8271 Å; angles 90.00, 108.67, 90.00 degrees
Closest atoms and distances in Å follow each position.
Sites, in units of the cell vectors:
Cs: 0.0000 0.2341 0.2500  6 Se 3.64-4.02
Cs: 0.0000 0.7659 0.7500  6 Se 3.64-4.02
K: 0.5000 0.1413 0.7500  2 B 3.07, 2 Se 3.40
K: 0.5000 0.8587 0.2500  2 B 3.07, 2 Se 3.40
B: 0.5000 0.5000 0.0000  2 Se 1.87
B: 0.5000 0.5000 0.5000  2 Se 1.87
Se: 0.2961 0.3215 0.0054  1 B 1.87
Se: 0.2961 0.6785 0.5054  1 B 1.87
Se: 0.7039 0.3215 0.4946  1 B 1.87
Se: 0.7039 0.6785 0.9946  1 B 1.87

Computed properties:
* space group: P2/c
* crystal system: monoclinic



| no. | ΔE_f (raw) (eV/f.u.) |
| --- | --- |
| 1 | -1.39 |
| 2 | -2.43 |
| 3 | 0.37 |
| 4 | 4.64 |
| 5 | -1.68 |
| 6 | -2.22 |